PBE-GGA CdBPt3, relaxed; total DFT energy (no corrections) = -0.39642 Ry/atom; theoretical density = 15.3 g/cm³; spin magnetization = 0.00 μB per formula unit; N(E_F) = 1.81 states/eV/f.u.; SG = P2_1/m
1.0
-0.508 -1.248 5.181
-4.819 -2.848 -1.159
3.079 -3.141 -5.084
B Pt Cd
2 6 2
direct
0.841 0.750 0.872
0.159 0.250 0.128
0.325 0.750 0.617
0.858 0.501 0.123
0.858 0.999 0.123
0.675 0.250 0.383
0.142 0.001 0.877
0.142 0.499 0.877
0.611 0.750 0.371
0.389 0.250 0.629

***

PBE-GGA Ca2ScMo2, relaxed; total DFT energy (no corrections) = -0.42310 Ry/atom; theoretical density = 3.8 g/cm³; spin magnetization = 0.25 μB per formula unit; N(E_F) = 9.28 states/eV/f.u.; SG = I4/mmm
1.0
3.542 0.000 0.000
0.000 3.542 0.000
1.771 1.771 11.161
Ca Sc Mo
2 1 2
direct
0.623 0.623 0.753
0.377 0.377 0.247
0.000 0.000 0.000
0.750 0.250 0.500
0.250 0.750 0.500

***

PBE-GGA Li2Ho3Mg9, relaxed; total DFT energy (no corrections) = -0.16743 Ry/atom; theoretical density = 3.5 g/cm³; spin magnetization = 0.00 μB per formula unit; N(E_F) = 11.11 states/eV/f.u.; SG = Immm
1.0
4.852 0.000 1.238
2.119 8.183 1.824
0.386 -0.665 8.613
Ho Li Mg
3 2 9
direct
0.281 0.719 0.719
0.000 0.000 0.000
0.719 0.281 0.281
0.500 0.346 0.654
0.500 0.654 0.346
0.861 0.409 0.868
0.139 0.132 0.591
0.139 0.591 0.132
0.633 0.996 0.739
0.861 0.868 0.409
0.633 0.739 0.996
0.367 0.261 0.004
0.000 0.500 0.500
0.367 0.004 0.261

***

PBE-GGA Ba8HPd2, relaxed; total DFT energy (no corrections) = -0.20358 Ry/atom; theoretical density = 4.0 g/cm³; spin magnetization = 0.42 μB per formula unit; N(E_F) = 12.49 states/eV/f.u.; SG = P-3m1
1.0
-0.763 4.320 5.169
-9.560 -1.379 -0.259
5.548 -5.647 5.539
Ba Pd H
8 2 1
direct
0.257 0.305 0.152
0.743 0.152 0.305
0.761 0.667 0.333
0.743 0.695 0.848
0.239 0.333 0.667
0.257 0.848 0.152
0.257 0.848 0.695
0.743 0.152 0.848
0.264 0.667 0.333
0.736 0.333 0.667
0.500 0.000 0.000

***

PBE-GGA NbAgSe2O8, relaxed; total DFT energy (no corrections) = -0.43079 Ry/atom; theoretical density = 4.2 g/cm³; formation energy (no corrections) = -0.8982 eV/atom; spin magnetization = 0.00 μB per formula unit; N(E_F) = 4.79 states/eV/f.u.; SG = P-3m1
1.0
5.986 0.000 0.000
-2.993 5.184 0.000
0.000 0.000 6.190
Se O Nb Ag
2 8 1 1
direct
0.333 0.667 0.749
0.667 0.333 0.251
0.152 0.848 0.797
0.152 0.305 0.797
0.848 0.695 0.203
0.667 0.333 0.514
0.333 0.667 0.486
0.848 0.152 0.203
0.695 0.848 0.797
0.305 0.152 0.203
0.000 0.000 0.000
0.000 0.000 0.500

***

PBE-GGA CaMg2AsN, relaxed; total DFT energy (no corrections) = -0.32900 Ry/atom; theoretical density = 3.4 g/cm³; formation energy (no corrections) = -0.8432 eV/atom; spin magnetization = 0.00 μB per formula unit; N(E_F) = 0.24 states/eV/f.u.; SG = P4/mmm
1.0
-1.795 -2.654 2.822
3.121 0.852 2.787
-2.577 3.632 1.776
Mg As Ca N
2 1 1 1
direct
0.000 0.500 0.000
0.500 0.000 0.000
0.500 0.500 0.500
0.000 0.000 0.500
0.000 0.000 0.000

***

PBE-GGA NaLi2H, relaxed; total DFT energy (no corrections) = -0.12572 Ry/atom; theoretical density = 0.8 g/cm³; spin magnetization = 0.00 μB per formula unit; N(E_F) = 2.23 states/eV/f.u.; SG = Fm-3m
1.0
0.000 3.343 3.343
3.343 0.000 3.343
3.343 3.343 0.000
Li H Na
2 1 1
direct
0.750 0.750 0.750
0.250 0.250 0.250
0.000 0.000 0.000
0.500 0.500 0.500

***

PBE-GGA Ti2Tl3NiTe6, relaxed; total DFT energy (no corrections) = -0.31920 Ry/atom; theoretical density = 7.4 g/cm³; formation energy (no corrections) = -0.3829 eV/atom; spin magnetization = 1.18 μB per formula unit; N(E_F) = 9.40 states/eV/f.u.; SG = C2/m
1.0
-2.803 -2.715 -5.822
-0.931 -3.222 6.154
-5.505 6.246 1.125
Ti Te Tl Ni
2 6 3 1
direct
0.336 0.664 0.000
0.664 0.336 0.000
0.621 0.941 0.817
0.256 0.256 0.810
0.379 0.059 0.183
0.941 0.621 0.817
0.059 0.379 0.183
0.744 0.744 0.190
0.500 0.500 0.500
0.175 0.825 0.500
0.825 0.175 0.500
0.000 0.000 0.000

***

PBE-GGA AcCePr2, relaxed; total DFT energy (no corrections) = -0.34893 Ry/atom; theoretical density = 7.4 g/cm³; spin magnetization = 1.02 μB per formula unit; N(E_F) = 10.20 states/eV/f.u.; SG = P4/mmm
1.0
-2.393 -3.488 0.936
-0.807 -0.578 -4.217
6.305 -4.485 -0.592
Pr Ce Ac
2 1 1
direct
0.000 0.000 0.217
0.000 0.000 0.783
0.500 0.500 0.000
0.500 0.500 0.500

***

PBE-GGA ScBe3O, relaxed; total DFT energy (no corrections) = -0.16757 Ry/atom; theoretical density = 1.2 g/cm³; formation energy (no corrections) = 2.2138 eV/atom; spin magnetization = 0.53 μB per formula unit; N(E_F) = 5.16 states/eV/f.u.; SG = Pm-3m
1.0
5.025 0.000 0.000
0.000 5.025 0.000
0.000 0.000 5.025
Be O Sc
3 1 1
direct
0.000 0.500 0.000
0.500 0.000 0.000
0.000 0.000 0.500
0.500 0.500 0.500
0.000 0.000 0.000

***

PBE-GGA EuPaSn2, relaxed; total DFT energy (no corrections) = -0.53848 Ry/atom; theoretical density = 9.5 g/cm³; spin magnetization = 7.81 μB per formula unit; N(E_F) = 5.07 states/eV/f.u.; SG = P4/mmm
1.0
3.161 0.000 0.000
0.000 5.859 0.000
0.000 0.000 5.859
Sn Eu Pa
2 1 1
direct
0.000 0.000 0.500
0.000 0.500 0.000
0.500 0.000 0.000
0.500 0.500 0.500

***

PBE-GGA Dy4CuSe2Cl, relaxed; total DFT energy (no corrections) = -0.38025 Ry/atom; theoretical density = 8.0 g/cm³; formation energy (no corrections) = -1.2585 eV/atom; spin magnetization = 0.00 μB per formula unit; N(E_F) = 2.32 states/eV/f.u.; SG = P2/m
1.0
3.910 0.000 0.000
0.000 7.123 -0.250
0.000 2.410 6.680
Cu Dy Cl Se
1 4 1 2
direct
0.000 0.500 0.500
0.000 0.750 0.734
0.000 0.250 0.266
0.500 0.266 0.732
0.500 0.734 0.268
0.500 0.500 0.000
0.000 0.000 0.000
0.500 0.000 0.500

***

Copy entry 5 word for word.
PBE-GGA NbAgSe2O8, relaxed; total DFT energy (no corrections) = -0.43079 Ry/atom; theoretical density = 4.2 g/cm³; formation energy (no corrections) = -0.8982 eV/atom; spin magnetization = 0.00 μB per formula unit; N(E_F) = 4.79 states/eV/f.u.; SG = P-3m1
1.0
5.986 0.000 0.000
-2.993 5.184 0.000
0.000 0.000 6.190
Se O Nb Ag
2 8 1 1
direct
0.333 0.667 0.749
0.667 0.333 0.251
0.152 0.848 0.797
0.152 0.305 0.797
0.848 0.695 0.203
0.667 0.333 0.514
0.333 0.667 0.486
0.848 0.152 0.203
0.695 0.848 0.797
0.305 0.152 0.203
0.000 0.000 0.000
0.000 0.000 0.500

***

Which of these has the highest spin magnetization?
EuPaSn2